No. 1
# BeRhIO2 (PBE, relaxed)
# Magnetization (μB/atom): 0.06
# Energy relative to the lowest polymorph listed for this composition (meV per atom): 0
# Energy relative to the elements, uncorrected (eV/atom): 0.029
# Fermi-level density of states (states/eV/atom): 1.391
# Uncorrected energy (eV per atom): -4.480
data_BeRhIO2
_chemical_formula_sum 'Be1 Rh1 I1 O2'
_cell_length_a 3.566
_cell_length_b 3.566
_cell_length_c 6.330
_cell_angle_alpha 90.00
_cell_angle_beta 90.00
_cell_angle_gamma 90.00
_space_group_name_H-M_alt 'P 1'
_space_group_IT_number 1
_space_group_name_Hall 'P 1'
loop_
_atom_site_label
_atom_site_type_symbol
_atom_site_fract_x
_atom_site_fract_y
_atom_site_fract_z
Be1 Be 0.000 0.000 0.000
Rh1 Rh 0.500 0.500 0.500
I1 I 0.000 0.000 0.500
O1 O 0.000 0.500 0.000
O2 O 0.500 0.000 0.000

***

No. 2
# BeRhI2O (PBE, relaxed)
# Magnetization (μB/atom): 0.00
# Energy relative to the lowest polymorph listed for this composition (meV per atom): 0
# Energy relative to the elements, uncorrected (eV/atom): -0.242
# Fermi-level density of states (states/eV/atom): 0.718
# Uncorrected energy (eV per atom): -4.069
data_BeRhI2O
_chemical_formula_sum 'Be1 Rh1 I2 O1'
_cell_length_a 5.597
_cell_length_b 5.597
_cell_length_c 2.997
_cell_angle_alpha 90.00
_cell_angle_beta 90.00
_cell_angle_gamma 90.00
_space_group_name_H-M_alt 'P 1'
_space_group_IT_number 1
_space_group_name_Hall 'P 1'
loop_
_atom_site_label
_atom_site_type_symbol
_atom_site_fract_x
_atom_site_fract_y
_atom_site_fract_z
Be1 Be 0.000 0.000 0.000
Rh1 Rh 0.500 0.500 0.500
I1 I 0.000 0.500 0.000
I2 I 0.500 0.000 0.000
O1 O 0.000 0.000 0.500

***

No. 3
# BeRhI2O (PBE, relaxed)
# Magnetization (μB/atom): 0.00
# Energy relative to the lowest polymorph listed for this composition (meV per atom): 573
# Energy relative to the elements, uncorrected (eV/atom): 0.331
# Fermi-level density of states (states/eV/atom): 0.612
# Uncorrected energy (eV per atom): -3.496
data_BeRhI2O
_chemical_formula_sum 'Be1 Rh1 I2 O1'
_cell_length_a 5.565
_cell_length_b 5.565
_cell_length_c 3.742
_cell_angle_alpha 90.00
_cell_angle_beta 90.00
_cell_angle_gamma 90.00
_space_group_name_H-M_alt 'P 1'
_space_group_IT_number 1
_space_group_name_Hall 'P 1'
loop_
_atom_site_label
_atom_site_type_symbol
_atom_site_fract_x
_atom_site_fract_y
_atom_site_fract_z
Be1 Be 0.000 0.000 0.000
Rh1 Rh 0.500 0.500 0.500
I1 I 0.000 0.500 0.500
I2 I 0.500 0.000 0.500
O1 O 0.500 0.500 0.000

***

No. 4
# BeRuIO2 (PBE, relaxed)
# Magnetization (μB/atom): 0.12
# Energy relative to the lowest polymorph listed for this composition (meV per atom): 366
# Energy relative to the elements, uncorrected (eV/atom): 0.254
# Fermi-level density of states (states/eV/atom): 1.087
# Uncorrected energy (eV per atom): -4.640
data_BeRuIO2
_chemical_formula_sum 'Be1 Ru1 I1 O2'
_cell_length_a 3.584
_cell_length_b 3.584
_cell_length_c 5.870
_cell_angle_alpha 90.00
_cell_angle_beta 90.00
_cell_angle_gamma 90.00
_space_group_name_H-M_alt 'P 1'
_space_group_IT_number 1
_space_group_name_Hall 'P 1'
loop_
_atom_site_label
_atom_site_type_symbol
_atom_site_fract_x
_atom_site_fract_y
_atom_site_fract_z
Be1 Be 0.000 0.000 0.000
Ru1 Ru 0.500 0.500 0.500
I1 I 0.000 0.000 0.500
O1 O 0.000 0.500 0.000
O2 O 0.500 0.000 0.000

***

Question: Among the records above, which one has the highest Fermi-level density of states?
Answer: BeRhIO2